Version a
PaGeF: optimized geometry, GGA-PBE.

The structure in CIF format:
```
data_PaGeF
_chemical_formula_sum 'Pa1 Ge1 F1'
_cell_length_a 4.0659
_cell_length_b 4.0659
_cell_length_c 4.0010
_cell_angle_alpha 90.00
_cell_angle_beta 90.00
_cell_angle_gamma 120.00
_space_group_name_H-M_alt 'P -6 m 2'
_space_group_IT_number 187
_space_group_name_Hall 'P -6 2'
loop_
_atom_site_label
_atom_site_fract_x
_atom_site_fract_y
_atom_site_fract_z
Pa1 0.0000 0.0000 0.0000
Ge1 0.6667 0.3333 0.5000
F1 0.3333 0.6667 0.0000
```

=====

Version b
PaGeF: optimized geometry, GGA-PBE.

The structure in CIF format:
```
data_PaGeF
_chemical_formula_sum 'Pa6 Ge6 F6'
_cell_length_a 3.7808
_cell_length_b 3.7808
_cell_length_c 27.6789
_cell_angle_alpha 90.00
_cell_angle_beta 90.00
_cell_angle_gamma 120.00
_space_group_name_H-M_alt 'R -3 m'
_space_group_IT_number 166
_space_group_name_Hall '-R 3 2"'
loop_
_atom_site_label
_atom_site_fract_x
_atom_site_fract_y
_atom_site_fract_z
Pa1 0.0000 0.0000 0.2381
Ge1 0.0000 0.0000 0.3554
F1 0.0000 0.0000 0.1416
```

=====

Relative energies, unit meV/atom: version a 0; version b 192

=====

Version a
GePb2F: optimized geometry, GGA-PBE.

The structure in CIF format:
```
data_GePb2F
_chemical_formula_sum 'Ge4 Pb8 F4'
_cell_length_a 7.102
_cell_length_b 7.102
_cell_length_c 7.102
_cell_angle_alpha 90.00
_cell_angle_beta 90.00
_cell_angle_gamma 90.00
_space_group_name_H-M_alt 'F m -3 m'
_space_group_IT_number 225
_space_group_name_Hall '-F 4 2 3'
loop_
_atom_site_label
_atom_site_fract_x
_atom_site_fract_y
_atom_site_fract_z
Ge1 0.000 0.000 0.000
Pb1 0.250 0.250 0.250
F1 0.000 0.000 0.500
```

=====

Version b
GePb2F: optimized geometry, GGA-PBE.

The structure in CIF format:
```
data_GePb2F
_chemical_formula_sum 'Ge4 Pb8 F4'
_cell_length_a 5.670
_cell_length_b 5.670
_cell_length_c 14.559
_cell_angle_alpha 90.00
_cell_angle_beta 90.00
_cell_angle_gamma 90.00
_space_group_name_H-M_alt 'I -4 2 d'
_space_group_IT_number 122
_space_group_name_Hall 'I -4 2bw'
loop_
_atom_site_label
_atom_site_fract_x
_atom_site_fract_y
_atom_site_fract_z
Ge1 0.000 0.000 0.000
Pb1 0.193 0.250 0.625
F1 0.000 0.000 0.500
```

=====

Relative energies, unit meV/atom: version a 0; version b 102

=====

Version a
Ge2PbF: optimized geometry, GGA-PBE.

The structure in CIF format:
```
data_Ge2PbF
_chemical_formula_sum 'Ge8 Pb4 F4'
_cell_length_a 6.858
_cell_length_b 6.858
_cell_length_c 6.858
_cell_angle_alpha 90.00
_cell_angle_beta 90.00
_cell_angle_gamma 90.00
_space_group_name_H-M_alt 'F m -3 m'
_space_group_IT_number 225
_space_group_name_Hall '-F 4 2 3'
loop_
_atom_site_label
_atom_site_fract_x
_atom_site_fract_y
_atom_site_fract_z
Ge1 0.250 0.250 0.250
Pb1 0.000 0.000 0.000
F1 0.000 0.000 0.500
```

=====

Version b
Ge2PbF: optimized geometry, GGA-PBE.

The structure in CIF format:
```
data_Ge2PbF
_chemical_formula_sum 'Ge8 Pb4 F4'
_cell_length_a 3.738
_cell_length_b 3.738
_cell_length_c 24.111
_cell_angle_alpha 90.00
_cell_angle_beta 90.00
_cell_angle_gamma 90.00
_space_group_name_H-M_alt 'I -4 2 d'
_space_group_IT_number 122
_space_group_name_Hall 'I -4 2bw'
loop_
_atom_site_label
_atom_site_fract_x
_atom_site_fract_y
_atom_site_fract_z
Ge1 0.249 0.250 0.125
Pb1 0.000 0.000 0.000
F1 0.000 0.000 0.500
```

=====

Relative energies, unit meV/atom: version a 284; version b 0